No. 1
Density functional theory data (PBE) for crystalline Tm2PuTe at its relaxed geometry.

## Properties
The total DFT energy (no corrections) is -6.9849 eV per atom. The calculation puts the polymorph energy (0 for the lowest one) at 0.054 eV per atom.

Unit cell a=3.7435 b=3.7435 c=9.8642 alpha=90.00 beta=90.00 gamma=120.00
Space group P-6m2 (No. 187)
One atom of each set of equivalent atoms:
Tm1 0.0000 0.0000 0.2197 [2 per cell]
Pu1 0.6667 0.3333 0.5000 [1 per cell]
Te1 0.6667 0.3333 0.0000 [1 per cell]

***

No. 2
Density functional theory data (PBE) for crystalline Tm2PuTe at its relaxed geometry.

## Properties
The total DFT energy (no corrections) is -6.9604 eV per atom. The calculation puts the polymorph energy (0 for the lowest one) at 0.079 eV per atom.

Unit cell a=4.753 b=4.753 c=4.657 alpha=90.00 beta=90.00 gamma=90.00
Space group P4/mmm (No. 123)
One atom of each set of equivalent atoms:
Tm1 0.000 0.500 0.000 [2 per cell]
Pu1 0.000 0.000 0.500 [1 per cell]
Te1 0.500 0.500 0.500 [1 per cell]

***

No. 3
Density functional theory data (PBE) for crystalline Tm2PuTe at its relaxed geometry.

## Properties
The total DFT energy (no corrections) is -6.9791 eV per atom. The calculation puts the polymorph energy (0 for the lowest one) at 0.060 eV per atom.

Unit cell a=3.7667 b=3.7667 c=29.3805 alpha=90.00 beta=90.00 gamma=120.00
Space group R3m (No. 160, hexagonal axes)
One atom of each set of equivalent atoms:
Tm1 0.0000 0.0000 0.0000 [3 per cell]
Tm2 0.0000 0.0000 0.1874 [3 per cell]
Pu1 0.0000 0.0000 0.4269 [3 per cell]
Te1 0.0000 0.0000 0.5938 [3 per cell]

***

No. 4
Density functional theory data (PBE) for crystalline Y3TmPu3Te8 at its relaxed geometry.

## Properties
The total DFT energy (no corrections) is -7.3442 eV per atom.

Unit cell a=15.090 b=8.754 c=7.386 alpha=90.00 beta=90.38 gamma=90.00
Space group C2/m (No. 12)
One atom of each set of equivalent atoms:
Y1 0.000 0.000 0.000 [2 per cell]
Y2 0.250 0.250 0.500 [4 per cell]
Tm1 0.000 0.500 0.000 [2 per cell]
Pu1 0.000 0.500 0.500 [2 per cell]
Pu2 0.250 0.250 0.000 [4 per cell]
Te1 0.081 0.250 0.246 [8 per cell]
Te2 0.164 0.000 0.741 [4 per cell]
Te3 0.167 0.500 0.748 [4 per cell]

***

No. 5
Density functional theory data (PBE) for crystalline Y2Tm3PuTe6 at its relaxed geometry.

## Properties
The total DFT energy (no corrections) is -6.1845 eV per atom.

Unit cell a=18.964 b=4.320 c=8.728 alpha=90.00 beta=103.60 gamma=90.00
Space group C2/m (No. 12)
One atom of each set of equivalent atoms:
Y1 0.164 0.000 0.329 [4 per cell]
Tm1 0.000 0.500 0.500 [2 per cell]
Tm2 0.165 0.000 0.835 [4 per cell]
Pu1 0.000 0.500 0.000 [2 per cell]
Te1 0.002 0.000 0.744 [4 per cell]
Te2 0.167 0.500 0.587 [4 per cell]
Te3 0.170 0.500 0.081 [4 per cell]

***

No. 6
Density functional theory data (PBE) for crystalline YTm2Pu3Te6 at its relaxed geometry.

## Properties
The total DFT energy (no corrections) is -7.6240 eV per atom.

Unit cell a=19.166 b=4.349 c=8.805 alpha=90.00 beta=104.36 gamma=90.00
Space group C2/m (No. 12)
One atom of each set of equivalent atoms:
Y1 0.000 0.000 0.000 [2 per cell]
Tm1 0.166 0.500 0.332 [4 per cell]
Pu1 0.000 0.000 0.500 [2 per cell]
Pu2 0.166 0.500 0.833 [4 per cell]
Te1 0.003 0.500 0.249 [4 per cell]
Te2 0.166 0.000 0.089 [4 per cell]
Te3 0.169 0.000 0.577 [4 per cell]

***

No. 7
Density functional theory data (PBE) for crystalline Y3Tm2PuTe6 at its relaxed geometry.

## Properties
The total DFT energy (no corrections) is -6.3736 eV per atom.

Unit cell a=19.018 b=4.330 c=8.744 alpha=90.00 beta=103.54 gamma=90.00
Space group C2/m (No. 12)
One atom of each set of equivalent atoms:
Y1 0.000 0.000 0.000 [2 per cell]
Y2 0.164 0.500 0.334 [4 per cell]
Tm1 0.162 0.500 0.827 [4 per cell]
Pu1 0.000 0.000 0.500 [2 per cell]
Te1 0.001 0.500 0.754 [4 per cell]
Te2 0.169 0.000 0.588 [4 per cell]
Te3 0.170 0.000 0.080 [4 per cell]

***

No. 8
Density functional theory data (PBE) for crystalline PuU2Te4 at its relaxed geometry.

## Properties
The total DFT energy (no corrections) is -7.7511 eV per atom.

Unit cell a=4.245 b=14.190 c=15.106 alpha=90.00 beta=90.00 gamma=90.00
Space group Cmcm (No. 63)
One atom of each set of equivalent atoms:
Pu1 0.000 0.106 0.250 [4 per cell]
U1 0.000 0.359 0.062 [8 per cell]
Te1 0.000 0.000 0.000 [4 per cell]
Te2 0.000 0.282 0.629 [8 per cell]
Te3 0.000 0.442 0.250 [4 per cell]

***

No. 9
Density functional theory data (PBE) for crystalline Pu2UTe at its relaxed geometry.

## Properties
The total DFT energy (no corrections) is -10.9326 eV per atom.

Unit cell a=3.820 b=3.820 c=6.478 alpha=90.00 beta=90.00 gamma=90.00
Space group P4/mmm (No. 123)
One atom of each set of equivalent atoms:
Pu1 0.000 0.000 0.240 [2 per cell]
U1 0.500 0.500 0.000 [1 per cell]
Te1 0.500 0.500 0.500 [1 per cell]

***

No. 10
Density functional theory data (PBE) for crystalline Pu2UTe4 at its relaxed geometry.

## Properties
The total DFT energy (no corrections) is -8.3572 eV per atom.

Unit cell a=4.269 b=14.479 c=14.993 alpha=90.00 beta=90.00 gamma=90.00
Space group Cmcm (No. 63)
One atom of each set of equivalent atoms:
Pu1 0.000 0.136 0.066 [8 per cell]
U1 0.000 0.383 0.250 [4 per cell]
Te1 0.000 0.040 0.250 [4 per cell]
Te2 0.000 0.221 0.628 [8 per cell]
Te3 0.000 0.500 0.000 [4 per cell]

***

No. 11
Density functional theory data (PBE) for crystalline PuUTe3 at its relaxed geometry.

## Properties
The total DFT energy (no corrections) is -7.4417 eV per atom.

Unit cell a=7.402 b=18.325 c=5.885 alpha=90.00 beta=90.00 gamma=90.00
Space group Cmmm (No. 65)
One atom of each set of equivalent atoms:
Pu1 0.000 0.208 0.000 [4 per cell]
U1 0.000 0.383 0.500 [4 per cell]
Te1 0.000 0.375 0.000 [4 per cell]
Te2 0.229 0.000 0.500 [4 per cell]
Te3 0.250 0.250 0.500 [4 per cell]

***

No. 12
Density functional theory data (PBE) for crystalline PuVTe2 at its relaxed geometry.

## Properties
The total DFT energy (no corrections) is -7.5545 eV per atom.

Unit cell a=3.6873 b=3.6873 c=29.1758 alpha=90.00 beta=90.00 gamma=120.00
Space group R-3m (No. 166, hexagonal axes)
One atom of each set of equivalent atoms:
Pu1 0.0000 0.0000 0.0000 [3 per cell]
V1 0.0000 0.0000 0.5000 [3 per cell]
Te1 0.0000 0.0000 0.1080 [6 per cell]

***

No. 13
Density functional theory data (PBE) for crystalline Y3PuTe4 at its relaxed geometry.

## Properties
The total DFT energy (no corrections) is -7.0656 eV per atom.

Unit cell a=6.191 b=6.191 c=12.398 alpha=90.00 beta=90.00 gamma=90.00
Space group I4/mmm (No. 139)
One atom of each set of equivalent atoms:
Y1 0.000 0.000 0.000 [2 per cell]
Y2 0.000 0.500 0.250 [4 per cell]
Pu1 0.000 0.000 0.500 [2 per cell]
Te1 0.000 0.000 0.249 [4 per cell]
Te2 0.000 0.500 0.000 [4 per cell]

***

No. 14
Density functional theory data (PBE) for crystalline YPuTe2 at its relaxed geometry.

## Properties
The total DFT energy (no corrections) is -7.8430 eV per atom. The calculation puts the polymorph energy (0 for the lowest one) at 0.157 eV per atom.

Unit cell a=7.604 b=7.604 c=7.604 alpha=90.00 beta=90.00 gamma=90.00
Space group Fm-3m (No. 225)
One atom of each set of equivalent atoms:
Y1 0.000 0.000 0.000 [4 per cell]
Pu1 0.000 0.000 0.500 [4 per cell]
Te1 0.250 0.250 0.250 [8 per cell]

***

No. 15
Density functional theory data (PBE) for crystalline Y4PuTe6 at its relaxed geometry.

## Properties
The total DFT energy (no corrections) is -6.6775 eV per atom.

Unit cell a=4.326 b=14.309 c=22.311 alpha=90.00 beta=90.00 gamma=90.00
Space group Cmcm (No. 63)
One atom of each set of equivalent atoms:
Y1 0.000 0.087 0.127 [8 per cell]
Y2 0.000 0.357 0.037 [8 per cell]
Pu1 0.000 0.157 0.750 [4 per cell]
Te1 0.000 0.000 0.000 [4 per cell]
Te2 0.000 0.180 0.250 [4 per cell]
Te3 0.000 0.268 0.592 [8 per cell]
Te4 0.000 0.448 0.164 [8 per cell]

***

No. 16
Density functional theory data (PBE) for crystalline Y2PuTe at its relaxed geometry.

## Properties
The total DFT energy (no corrections) is -8.0203 eV per atom. The calculation puts the polymorph energy (0 for the lowest one) at 0.045 eV per atom.

Unit cell a=3.8357 b=3.8357 c=29.5023 alpha=90.00 beta=90.00 gamma=120.00
Space group R3m (No. 160, hexagonal axes)
One atom of each set of equivalent atoms:
Y1 0.0000 0.0000 0.0000 [3 per cell]
Y2 0.0000 0.0000 0.1883 [3 per cell]
Pu1 0.0000 0.0000 0.4274 [3 per cell]
Te1 0.0000 0.0000 0.5943 [3 per cell]

***

No. 17
Density functional theory data (PBE) for crystalline YPuTe3 at its relaxed geometry.

## Properties
The total DFT energy (no corrections) is -7.0721 eV per atom.

Unit cell a=10.354 b=6.220 c=10.773 alpha=90.00 beta=109.42 gamma=90.00
Space group P2_1/c (No. 14)
One atom of each set of equivalent atoms:
Y1 0.136 0.187 0.111 [4 per cell]
Pu1 0.361 0.698 0.354 [4 per cell]
Te1 0.087 0.078 0.829 [4 per cell]
Te2 0.191 0.668 0.051 [4 per cell]
Te3 0.427 0.199 0.329 [4 per cell]

***

No. 18
Density functional theory data (PBE) for crystalline Y3Pu5Te8 at its relaxed geometry.

## Properties
The total DFT energy (no corrections) is -8.4491 eV per atom.

Unit cell a=8.7683 b=8.7683 c=21.8006 alpha=90.00 beta=90.00 gamma=120.00
Space group R-3m (No. 166, hexagonal axes)
One atom of each set of equivalent atoms:
Y1 0.0000 0.5000 0.0000 [9 per cell]
Pu1 0.0000 0.0000 0.0000 [3 per cell]
Pu2 0.0000 0.0000 0.5000 [3 per cell]
Pu3 0.0000 0.5000 0.5000 [9 per cell]
Te1 0.0000 0.0000 0.2514 [6 per cell]
Te2 0.0025 0.5012 0.2510 [18 per cell]

***

No. 19
Density functional theory data (PBE) for crystalline Y2PuTe at its relaxed geometry.

## Properties
The total DFT energy (no corrections) is -8.0658 eV per atom. The calculation puts the polymorph energy (0 for the lowest one) at 0.000 eV per atom.

Unit cell a=3.830 b=3.830 c=7.767 alpha=90.00 beta=90.00 gamma=90.00
Space group P4/mmm (No. 123)
One atom of each set of equivalent atoms:
Y1 0.000 0.000 0.229 [2 per cell]
Pu1 0.500 0.500 0.500 [1 per cell]
Te1 0.500 0.500 0.000 [1 per cell]

***

No. 20
Density functional theory data (PBE) for crystalline YPuTe2 at its relaxed geometry.

## Properties
The total DFT energy (no corrections) is -7.9407 eV per atom. The calculation puts the polymorph energy (0 for the lowest one) at 0.059 eV per atom.

Unit cell a=4.2387 b=4.2387 c=23.3509 alpha=90.00 beta=90.00 gamma=120.00
Space group R3m (No. 160, hexagonal axes)
One atom of each set of equivalent atoms:
Y1 0.0000 0.0000 0.0000 [3 per cell]
Pu1 0.0000 0.0000 0.1726 [3 per cell]
Te1 0.0000 0.0000 0.5864 [3 per cell]
Te2 0.0000 0.0000 0.7521 [3 per cell]

***

No. 21
Density functional theory data (PBE) for crystalline YPuTe2 at its relaxed geometry.

## Properties
The total DFT energy (no corrections) is -7.8493 eV per atom. The calculation puts the polymorph energy (0 for the lowest one) at 0.151 eV per atom.

Unit cell a=3.792 b=3.792 c=7.628 alpha=90.00 beta=90.00 gamma=90.00
Space group P4/mmm (No. 123)
One atom of each set of equivalent atoms:
Y1 0.000 0.000 0.000 [1 per cell]
Pu1 0.000 0.000 0.500 [1 per cell]
Te1 0.500 0.500 0.245 [2 per cell]

***

No. 22
Density functional theory data (PBE) for crystalline Y2PuTe at its relaxed geometry.

## Properties
The total DFT energy (no corrections) is -7.7412 eV per atom. The calculation puts the polymorph energy (0 for the lowest one) at 0.325 eV per atom.

Unit cell a=3.7957 b=3.7957 c=31.9020 alpha=90.00 beta=90.00 gamma=120.00
Space group R-3m (No. 166, hexagonal axes)
One atom of each set of equivalent atoms:
Y1 0.0000 0.0000 0.1008 [6 per cell]
Pu1 0.0000 0.0000 0.0000 [3 per cell]
Te1 0.0000 0.0000 0.5000 [3 per cell]

***

No. 23
Density functional theory data (PBE) for crystalline Y2PuTe3 at its relaxed geometry.

## Properties
The total DFT energy (no corrections) is -7.3781 eV per atom.

Unit cell a=4.371 b=6.203 c=13.193 alpha=90.00 beta=90.00 gamma=90.00
Space group Immm (No. 71)
One atom of each set of equivalent atoms:
Y1 0.000 0.000 0.167 [4 per cell]
Pu1 0.000 0.000 0.500 [2 per cell]
Te1 0.000 0.500 0.169 [4 per cell]
Te2 0.000 0.500 0.500 [2 per cell]